1.
Entry from Alexandria via LeMat-Bulk: an optimized crystal structure of SmErHg6 (PBE).

The structure in POSCAR format:
```
SmErHg6
1.0
5.0230 0.0000 0.0000
0.0000 3.3720 5.7402
0.0000 -3.3720 5.7402
Sm Er Hg
1 1 6
direct
0.0000 0.0000 0.0000 Sm
0.5000 0.6793 0.6793 Er
0.0000 0.0074 0.4998 Hg
0.0000 0.4998 0.0074 Hg
0.0000 0.5107 0.5107 Hg
0.5000 0.1724 0.1724 Hg
0.5000 0.1830 0.6636 Hg
0.5000 0.6636 0.1830 Hg
```

Computed properties:
Its spin magnetization is 0.000 μB/atom. As for the formation energy: -346 meV/atom.



2.
Entry from Alexandria via LeMat-Bulk: an optimized crystal structure of SmErHg4 (PBE).

The structure in POSCAR format:
```
SmErHg4
1.0
0.0000 4.2172 4.2172
4.2172 0.0000 4.2172
4.2172 4.2172 0.0000
Sm Er Hg
1 1 4
direct
0.0000 0.0000 0.0000 Sm
0.2500 0.2500 0.2500 Er
0.1250 0.6250 0.6250 Hg
0.6250 0.1250 0.6250 Hg
0.6250 0.6250 0.1250 Hg
0.6250 0.6250 0.6250 Hg
```

Computed properties:
Its spin magnetization is 0.000 μB/atom. As for the formation energy: -204 meV/atom.



3.
Entry from Alexandria via LeMat-Bulk: an optimized crystal structure of Sm2ErHg (PBE).

The structure in POSCAR format:
```
Sm2ErHg
1.0
0.0000 3.8647 3.8647
3.8647 0.0000 3.8647
3.8647 3.8647 0.0000
Sm Er Hg
2 1 1
direct
0.2500 0.2500 0.2500 Sm
0.7500 0.7500 0.7500 Sm
0.0000 0.0000 0.0000 Er
0.5000 0.5000 0.5000 Hg
```

Computed properties:
Its spin magnetization is 0.000 μB/atom. As for the formation energy: -72 meV/atom.



4.
Entry from Alexandria via LeMat-Bulk: an optimized crystal structure of SmErHg3 (PBE).

The structure in POSCAR format:
```
SmErHg3
1.0
-2.8460 2.8460 11.0004
2.8460 -2.8460 11.0004
2.8460 2.8460 -11.0004
Sm Er Hg
2 2 6
direct
0.0000 0.0000 0.0000 Sm
0.7500 0.2500 0.5000 Sm
0.4128 0.4128 0.0000 Er
0.5872 0.5872 0.0000 Er
0.0436 0.5436 0.5000 Hg
0.3742 0.1282 0.2460 Hg
0.4564 0.9564 0.5000 Hg
0.8718 0.1178 0.2460 Hg
0.8718 0.6258 0.7540 Hg
0.8822 0.1282 0.7540 Hg
```

Computed properties:
Its spin magnetization is 0.000 μB/atom. As for the formation energy: 72 meV/atom.



5.
Entry from Alexandria via LeMat-Bulk: an optimized crystal structure of Sm2ErHg (PBE).

The structure in POSCAR format:
```
Sm2ErHg
1.0
1.8420 -6.2913 0.0000
1.8420 6.2913 0.0000
0.0000 0.0000 10.2936
Sm Er Hg
4 2 2
direct
0.1297 0.8703 0.5417 Sm
0.1297 0.8703 0.9583 Sm
0.8703 0.1297 0.0417 Sm
0.8703 0.1297 0.4583 Sm
0.4525 0.5475 0.7500 Er
0.5475 0.4525 0.2500 Er
0.2530 0.7470 0.2500 Hg
0.7470 0.2530 0.7500 Hg
```

Computed properties:
Its spin magnetization is 0.000 μB/atom. As for the formation energy: -222 meV/atom.



6.
Entry from Alexandria via LeMat-Bulk: an optimized crystal structure of Sm3Er4Hg4 (PBE).

The structure in POSCAR format:
```
Sm3Er4Hg4
1.0
-2.4796 3.8760 8.2213
2.4796 -3.8760 8.2213
2.4796 3.8760 -8.2213
Sm Er Hg
3 4 4
direct
0.0000 0.0000 0.0000 Sm
0.3907 0.8907 0.5000 Sm
0.6093 0.1093 0.5000 Sm
0.0415 0.3254 0.7162 Er
0.3908 0.6746 0.7162 Er
0.6092 0.3254 0.2838 Er
0.9585 0.6746 0.2838 Er
0.2067 0.2067 0.0000 Hg
0.3027 0.5000 0.8027 Hg
0.6973 0.5000 0.1973 Hg
0.7933 0.7933 0.0000 Hg
```

Computed properties:
Its spin magnetization is 0.000 μB/atom. As for the formation energy: -279 meV/atom.



7.
Entry from Alexandria via LeMat-Bulk: an optimized crystal structure of Sm2ErHg3 (PBE).

The structure in POSCAR format:
```
Sm2ErHg3
1.0
5.3146 0.0000 0.0000
-2.6573 4.6025 0.0000
0.0000 0.0000 13.0759
Sm Er Hg
4 2 6
direct
0.0000 0.0000 0.0000 Sm
0.0000 0.0000 0.5000 Sm
0.3333 0.6667 0.1694 Sm
0.6667 0.3333 0.8306 Sm
0.3333 0.6667 0.6672 Er
0.6667 0.3333 0.3328 Er
0.0000 0.0000 0.2537 Hg
0.0000 0.0000 0.7463 Hg
0.3333 0.6667 0.4183 Hg
0.3333 0.6667 0.9140 Hg
0.6667 0.3333 0.0860 Hg
0.6667 0.3333 0.5817 Hg
```

Computed properties:
Its spin magnetization is 0.141 μB/atom. As for the formation energy: -469 meV/atom.



8.
Entry from Alexandria via LeMat-Bulk: an optimized crystal structure of SmEr2Hg2 (PBE).

The structure in POSCAR format:
```
SmEr2Hg2
1.0
3.3154 -5.6974 0.0000
3.3154 5.6974 0.0000
-3.3006 0.0000 8.4216
Sm Er Hg
2 4 4
direct
0.1252 0.8748 0.7500 Sm
0.8748 0.1252 0.2500 Sm
0.2722 0.5227 0.0451 Er
0.4773 0.7278 0.4549 Er
0.5227 0.2722 0.5451 Er
0.7278 0.4773 0.9549 Er
0.1560 0.8440 0.2500 Hg
0.4065 0.5935 0.7500 Hg
0.5935 0.4065 0.2500 Hg
0.8440 0.1560 0.7500 Hg
```

Computed properties:
Its spin magnetization is 0.000 μB/atom. As for the formation energy: 29 meV/atom.



Q: Number 7 is which compound?
A: Sm2ErHg3



What did the eighth record say?
Entry from Alexandria via LeMat-Bulk: an optimized crystal structure of SmEr2Hg2 (PBE).

The structure in POSCAR format:
```
SmEr2Hg2
1.0
3.3154 -5.6974 0.0000
3.3154 5.6974 0.0000
-3.3006 0.0000 8.4216
Sm Er Hg
2 4 4
direct
0.1252 0.8748 0.7500 Sm
0.8748 0.1252 0.2500 Sm
0.2722 0.5227 0.0451 Er
0.4773 0.7278 0.4549 Er
0.5227 0.2722 0.5451 Er
0.7278 0.4773 0.9549 Er
0.1560 0.8440 0.2500 Hg
0.4065 0.5935 0.7500 Hg
0.5935 0.4065 0.2500 Hg
0.8440 0.1560 0.7500 Hg
```

Computed properties:
Its spin magnetization is 0.000 μB/atom. As for the formation energy: 29 meV/atom.



Q: What is the formula in the fourth record?
A: SmErHg3



Q: The lowest formation energy belongs to which entry?
A: Sm2ErHg3